# 1
DFT (PBE) results for CsNaI after structural relaxation.

Calculated values
- Energy relative to the elements, uncorrected: -0.92 eV/atom
- Space group: Pm, No. 6
- Total DFT energy (no corrections): -2.157 eV/atom

Cell: 4.8034 4.6949 13.6519 Å, 90.00 100.05 90.00°
Sites, in units of the cell vectors:
Na: 0.1721 0.0000 0.8080
I: 0.9843 0.0000 0.4230
Na: 0.7248 0.5000 0.9144
Cs: 0.3820 0.5000 0.2334
I: 0.8071 0.0000 0.0824
Cs: 0.5604 0.5000 0.5745


# 2
DFT (PBE) results for CsNaI after structural relaxation.

Calculated values
- Energy relative to the elements, uncorrected: -0.92 eV/atom
- Space group: Pmm2, No. 25
- Total DFT energy (no corrections): -2.158 eV/atom

Cell: 4.7699 5.1478 13.2759 Å, 90.00 90.00 90.00°
Sites, in units of the cell vectors:
I: 0.0000 0.0000 0.0871
I: 0.0000 0.5000 0.4446
Cs: 0.5000 0.5000 0.2115
Na: 0.0000 0.5000 0.8132
Cs: 0.5000 0.0000 0.5699
Na: 0.5000 0.0000 0.9092


# 3
DFT (PBE) results for Cs2NaI4 after structural relaxation.

Calculated values
- Energy relative to the elements, uncorrected: -1.12 eV/atom
- Space group: I4/mmm, No. 139
- Total DFT energy (no corrections): -2.439 eV/atom

Cell: 6.1213 6.1213 10.7041 Å, 73.39 73.39 90.00°
Last column: magnetic moment on the atom in μB.
Sites, in units of the cell vectors:
Cs: 0.6370 0.6370 0.7260  0.00
Cs: 0.3630 0.3630 0.2740  0.00
I: 0.5000 0.0000 0.0000  0.16
I: 0.1656 0.1656 0.6688  0.16
I: 0.8344 0.8344 0.3312  0.16
I: 0.0000 0.5000 0.0000  0.16
Na: 0.0000 0.0000 0.0000  0.00


# 4
DFT (PBE) results for CsNa2I after structural relaxation.

Calculated values
- Energy relative to the elements, uncorrected: -0.49 eV/atom
- Space group: I-42d, No. 122
- Total DFT energy (no corrections): -1.754 eV/atom

Cell: 10.9975 10.9975 8.6186 Å, 50.36 50.36 90.00°
Sites, in units of the cell vectors:
Na: 0.3750 0.4584 0.7500
I: 0.2500 0.7500 0.5000
Cs: 0.0000 0.0000 0.0000
Na: 0.8750 0.7916 0.7500
Cs: 0.7500 0.2500 0.5000
Na: 0.2084 0.6250 0.2500
Na: 0.5416 0.1250 0.2500
I: 0.5000 0.5000 0.0000


# 5
DFT (PBE) results for CsNaI after structural relaxation.

Calculated values
- Energy relative to the elements, uncorrected: -0.87 eV/atom
- Space group: P1, No. 1
- Total DFT energy (no corrections): -2.106 eV/atom

Cell: 5.3010 8.8126 9.5017 Å, 93.99 90.00 107.37°
Sites, in units of the cell vectors:
Cs: 0.0508 0.6836 0.8993
Na: 0.4044 0.3936 0.1548
Cs: 0.2007 0.9868 0.4302
I: 0.6015 0.7863 0.1835
Na: 0.7705 0.1277 0.0226
I: 0.6706 0.9258 0.7152


# 6
DFT (PBE) results for Cs4NaI2 after structural relaxation.

Calculated values
- Energy relative to the elements, uncorrected: -0.66 eV/atom
- Space group: I4/mmm, No. 139
- Total DFT energy (no corrections): -1.783 eV/atom

Cell: 7.4450 7.4450 11.4969 Å, 71.11 71.11 90.00°
Sites, in units of the cell vectors:
I: 0.6049 0.6049 0.7902
I: 0.3951 0.3951 0.2098
Cs: 0.0000 0.5000 0.0000
Cs: 0.5000 0.0000 0.0000
Na: 0.0000 0.0000 0.0000
Cs: 0.7843 0.7843 0.4314
Cs: 0.2157 0.2157 0.5686